This record from Alexandria via LeMat-Bulk describes a geometry-optimized SmSi3Ir structure. The functional is GGA-PBEsol. Values from VASP.

Summary:
Symmetry: I4mm (107)
Energy relative to the elements, uncorrected, eV/atom: -0.88

Cell and atoms, written as Quantum ESPRESSO input:
```
&SYSTEM
  ibrav = 0, nat = 5, ntyp = 3
/
ATOMIC_SPECIES
Sm 150.36 Sm.upf
Si 28.09 Si.upf
Ir 192.22 Ir.upf
ATOMIC_POSITIONS angstrom
Sm 0.000 0.000 0.000
Si 2.096 0.000 2.284
Si 0.000 0.000 5.700
Si 0.000 2.096 2.284
Ir 0.000 0.000 3.368
CELL_PARAMETERS angstrom
-2.096 2.096 4.876
2.096 -2.096 4.876
2.096 2.096 -4.876
```



This record from Alexandria via LeMat-Bulk describes a geometry-optimized LiAlRu2 structure. The functional is GGA-PBEsol. Values from VASP.

Summary:
Symmetry: Pmmm (47)
ΔE_f, eV per atom: -0.03

Cell and atoms, written as Quantum ESPRESSO input:
```
&SYSTEM
  ibrav = 0, nat = 4, ntyp = 3
/
ATOMIC_SPECIES
Li 6.94 Li.upf
Al 26.98 Al.upf
Ru 101.07 Ru.upf
ATOMIC_POSITIONS angstrom
Li 0.000 0.000 0.000
Al 1.418 0.000 2.215
Ru 0.000 2.091 2.215
Ru 1.418 2.091 0.000
CELL_PARAMETERS angstrom
2.835 0.000 0.000
0.000 4.183 0.000
0.000 0.000 4.430
```



This record from Alexandria via LeMat-Bulk describes a geometry-optimized CdTeMo3 structure. The functional is GGA-PBEsol. Values from VASP.

Summary:
Symmetry: Pm-3m (221)
Energy relative to the elements, uncorrected, eV/atom: 2.47

Cell and atoms, written as Quantum ESPRESSO input:
```
&SYSTEM
  ibrav = 0, nat = 5, ntyp = 3
/
ATOMIC_SPECIES
Cd 112.41 Cd.upf
Te 127.60 Te.upf
Mo 95.94 Mo.upf
ATOMIC_POSITIONS angstrom
Cd 0.000 0.000 0.000
Te 2.424 2.424 2.424
Mo 0.000 0.000 2.424
Mo 0.000 2.424 0.000
Mo 2.424 0.000 0.000
CELL_PARAMETERS angstrom
4.847 0.000 0.000
0.000 4.847 0.000
0.000 0.000 4.847
```



This record from Alexandria via LeMat-Bulk describes a geometry-optimized NaTi2PPb structure. The functional is GGA-PBEsol. Values from VASP.

Summary:
Symmetry: P4/mmm (123)
ΔE_f, eV per atom: 1.59

Cell and atoms, written as Quantum ESPRESSO input:
```
&SYSTEM
  ibrav = 0, nat = 5, ntyp = 4
/
ATOMIC_SPECIES
Na 22.99 Na.upf
Ti 47.87 Ti.upf
P 30.97 P.upf
Pb 207.20 Pb.upf
ATOMIC_POSITIONS angstrom
Na 0.000 0.000 0.000
Ti 0.000 2.377 0.000
Ti 2.377 0.000 0.000
P 2.377 2.377 2.472
Pb 0.000 0.000 2.472
CELL_PARAMETERS angstrom
4.754 0.000 0.000
0.000 4.754 0.000
0.000 0.000 4.944
```



This record from Alexandria via LeMat-Bulk describes a geometry-optimized TcSbSe2 structure. The functional is GGA-PBEsol. Values from VASP.

Summary:
Symmetry: P4mm (99)
Energy relative to the elements, uncorrected, eV/atom: 0.03

Cell and atoms, written as Quantum ESPRESSO input:
```
&SYSTEM
  ibrav = 0, nat = 4, ntyp = 3
/
ATOMIC_SPECIES
Tc 98.00 Tc.upf
Sb 121.76 Sb.upf
Se 78.96 Se.upf
ATOMIC_POSITIONS angstrom
Tc 0.000 0.000 0.000
Sb 1.521 1.521 1.912
Se 0.000 0.000 4.456
Se 1.521 1.521 7.367
CELL_PARAMETERS angstrom
3.042 0.000 0.000
0.000 3.042 0.000
0.000 0.000 8.723
```



This record from Alexandria via LeMat-Bulk describes a geometry-optimized Mo2P2O11 structure. The functional is GGA-PBEsol. Values from VASP.

Summary:
Symmetry: Pnma (62)
Energy relative to the elements, uncorrected, eV/atom: -2.04
Excess energy over the best structure of this formula in the dataset, eV per atom: 0.013

Cell and atoms, written as Quantum ESPRESSO input:
```
&SYSTEM
  ibrav = 0, nat = 60, ntyp = 3
/
ATOMIC_SPECIES
Mo 95.94 Mo.upf
P 30.97 P.upf
O 16.00 O.upf
ATOMIC_POSITIONS angstrom
Mo 0.016 1.580 2.446
Mo 3.137 1.580 0.270
Mo 3.153 4.741 5.639
Mo 6.273 4.741 7.814
Mo 6.306 1.580 2.923
Mo 9.426 1.580 5.098
Mo 9.442 4.741 10.467
Mo 12.562 4.741 8.291
P 0.398 4.741 3.369
P 1.997 1.580 5.518
P 4.293 4.741 0.149
P 5.892 1.580 8.738
P 6.687 4.741 2.000
P 8.286 1.580 10.588
P 10.582 4.741 5.219
P 12.181 1.580 7.368
O 0.463 3.501 2.477
O 0.463 5.981 2.477
O 0.614 4.741 9.839
O 1.082 1.580 6.812
O 1.176 1.580 4.279
O 1.383 4.741 4.507
O 1.397 4.741 7.294
O 2.035 1.580 1.610
O 2.113 1.580 9.697
O 2.882 0.348 5.708
O 2.882 2.813 5.708
O 3.407 3.509 0.339
O 3.407 5.974 0.339
O 4.177 4.741 4.328
O 4.254 4.741 6.978
O 4.892 1.580 1.926
O 4.907 1.580 9.876
O 5.114 4.741 9.647
O 5.207 4.741 1.443
O 5.676 1.580 4.470
O 5.826 0.341 7.845
O 5.826 2.820 7.845
O 6.753 3.501 2.892
O 6.753 5.981 2.892
O 6.903 4.741 6.267
O 7.372 1.580 9.294
O 7.465 1.580 1.090
O 7.672 4.741 0.861
O 7.687 4.741 8.812
O 8.325 1.580 3.759
O 8.402 1.580 6.409
O 9.171 0.348 10.398
O 9.171 2.813 10.398
O 9.697 3.509 5.029
O 9.697 5.974 5.029
O 10.466 4.741 1.040
O 10.544 4.741 9.128
O 11.181 1.580 3.443
O 11.196 1.580 6.230
O 11.403 4.741 6.459
O 11.497 4.741 3.925
O 11.965 1.580 0.898
O 12.116 0.341 8.261
O 12.116 2.820 8.261
CELL_PARAMETERS angstrom
12.579 0.000 0.000
0.000 6.322 0.000
0.000 0.000 10.737
```



This record from Alexandria via LeMat-Bulk describes a geometry-optimized Tb2CuGe2O8 structure. The functional is GGA-PBEsol. Values from VASP.

Summary:
Symmetry: Cm (8)
Energy relative to the elements, uncorrected, eV/atom: -2.33

Cell and atoms, written as Quantum ESPRESSO input:
```
&SYSTEM
  ibrav = 0, nat = 26, ntyp = 4
/
ATOMIC_SPECIES
Tb 158.93 Tb.upf
Cu 63.55 Cu.upf
Ge 72.64 Ge.upf
O 16.00 O.upf
ATOMIC_POSITIONS angstrom
Tb 4.740 5.701 0.000
Tb 3.370 1.799 2.195
Tb 3.370 -1.799 2.195
Tb 4.740 -5.701 0.000
Cu 0.627 3.099 3.516
Cu 0.627 -3.099 3.516
Ge 0.297 0.000 3.462
Ge 6.323 3.165 1.154
Ge 6.571 0.000 0.933
Ge 6.323 -3.165 1.154
O 2.040 2.566 0.474
O -1.471 0.000 3.629
O 2.259 3.869 2.754
O 0.903 1.414 2.561
O 4.592 3.526 1.122
O 0.903 -1.414 2.561
O 2.040 -2.566 0.474
O 3.511 0.000 0.831
O 3.296 0.000 3.606
O 4.601 2.530 4.085
O 5.977 1.390 1.899
O 2.259 -3.869 2.754
O 4.592 -3.526 1.122
O 5.977 -1.390 1.899
O 4.601 -2.530 4.085
O 8.328 0.000 0.781
CELL_PARAMETERS angstrom
4.740 -7.489 0.000
4.740 7.489 0.000
-2.672 0.000 4.322
```



This record from Alexandria via LeMat-Bulk describes a geometry-optimized ScFe2P structure. The functional is GGA-PBEsol. Values from VASP.

Summary:
Symmetry: F-43m (216)
ΔE_f, eV per atom: -0.26

Cell and atoms, written as Quantum ESPRESSO input:
```
&SYSTEM
  ibrav = 0, nat = 4, ntyp = 3
/
ATOMIC_SPECIES
Sc 44.96 Sc.upf
Fe 55.84 Fe.upf
P 30.97 P.upf
ATOMIC_POSITIONS angstrom
Sc 0.000 0.000 0.000
Fe 1.477 1.477 1.477
Fe 2.954 2.954 2.954
P 4.431 4.431 4.431
CELL_PARAMETERS angstrom
0.000 2.954 2.954
2.954 0.000 2.954
2.954 2.954 0.000
```



This record from Alexandria via LeMat-Bulk describes a geometry-optimized Cu2Ag structure. The functional is GGA-PBEsol. Values from VASP.

Summary:
Symmetry: Fd-3m (227)
ΔE_f, eV per atom: 0.07
Excess energy over the best structure of this formula in the dataset, eV per atom: 0.003

Cell and atoms, written as Quantum ESPRESSO input:
```
&SYSTEM
  ibrav = 0, nat = 6, ntyp = 2
/
ATOMIC_SPECIES
Cu 63.55 Cu.upf
Ag 107.87 Ag.upf
ATOMIC_POSITIONS angstrom
Cu 0.000 0.000 0.000
Cu 1.705 1.705 0.000
Cu 1.705 0.000 1.705
Cu 0.000 1.705 1.705
Ag 2.557 2.557 2.557
Ag 4.262 4.262 4.262
CELL_PARAMETERS angstrom
0.000 3.409 3.409
3.409 0.000 3.409
3.409 3.409 0.000
```



This record from Alexandria via LeMat-Bulk describes a geometry-optimized FeOsRu2 structure. The functional is GGA-PBEsol. Values from VASP.

Summary:
Symmetry: I4/mmm (139)
ΔE_f, eV per atom: 0.14

Cell and atoms, written as Quantum ESPRESSO input:
```
&SYSTEM
  ibrav = 0, nat = 4, ntyp = 3
/
ATOMIC_SPECIES
Fe 55.84 Fe.upf
Os 190.23 Os.upf
Ru 101.07 Ru.upf
ATOMIC_POSITIONS angstrom
Fe 0.000 0.000 0.000
Os 0.000 0.000 3.697
Ru 1.855 0.000 1.848
Ru 0.000 1.855 1.848
CELL_PARAMETERS angstrom
-1.855 1.855 3.697
1.855 -1.855 3.697
1.855 1.855 -3.697
```



This record from Alexandria via LeMat-Bulk describes a geometry-optimized Mg2NiSe structure. The functional is GGA-PBEsol. Values from VASP.

Summary:
Symmetry: Amm2 (38)
Energy relative to the elements, uncorrected, eV/atom: -0.48

Cell and atoms, written as Quantum ESPRESSO input:
```
&SYSTEM
  ibrav = 0, nat = 4, ntyp = 3
/
ATOMIC_SPECIES
Mg 24.30 Mg.upf
Ni 58.69 Ni.upf
Se 78.96 Se.upf
ATOMIC_POSITIONS angstrom
Mg 0.000 0.000 0.000
Mg 1.910 0.000 2.989
Ni 0.000 0.000 7.122
Se 1.910 0.000 5.733
CELL_PARAMETERS angstrom
3.821 0.000 0.000
0.000 1.813 4.875
0.000 -1.813 4.875
```



This record from Alexandria via LeMat-Bulk describes a geometry-optimized In2TeAsBr structure. The functional is GGA-PBEsol. Values from VASP.

Summary:
Symmetry: P4/mmm (123)
Energy relative to the elements, uncorrected, eV/atom: 0.62

Cell and atoms, written as Quantum ESPRESSO input:
```
&SYSTEM
  ibrav = 0, nat = 5, ntyp = 4
/
ATOMIC_SPECIES
In 114.82 In.upf
Te 127.60 Te.upf
As 74.92 As.upf
Br 79.90 Br.upf
ATOMIC_POSITIONS angstrom
In 0.000 2.884 0.000
In 2.884 0.000 0.000
Te 0.000 0.000 0.000
As 2.884 2.884 2.710
Br 0.000 0.000 2.710
CELL_PARAMETERS angstrom
5.768 0.000 0.000
0.000 5.768 0.000
0.000 0.000 5.420
```



This record from Alexandria via LeMat-Bulk describes a geometry-optimized ScAl2Ir structure. The functional is GGA-PBEsol. Values from VASP.

Summary:
Symmetry: I-4m2 (119)
ΔE_f, eV per atom: -0.67

Cell and atoms, written as Quantum ESPRESSO input:
```
&SYSTEM
  ibrav = 0, nat = 4, ntyp = 3
/
ATOMIC_SPECIES
Sc 44.96 Sc.upf
Al 26.98 Al.upf
Ir 192.22 Ir.upf
ATOMIC_POSITIONS angstrom
Sc 0.000 0.000 0.000
Al 2.209 0.000 1.569
Al 0.000 0.000 3.138
Ir 0.000 2.209 1.569
CELL_PARAMETERS angstrom
-2.209 2.209 3.138
2.209 -2.209 3.138
2.209 2.209 -3.138
```



This record from Alexandria via LeMat-Bulk describes a geometry-optimized LiTc2Ni structure. The functional is GGA-PBEsol. Values from VASP.

Summary:
Symmetry: Cmmm (65)
ΔE_f, eV per atom: 0.20
Excess energy over the best structure of this formula in the dataset, eV per atom: 0.019

Cell and atoms, written as Quantum ESPRESSO input:
```
&SYSTEM
  ibrav = 0, nat = 4, ntyp = 3
/
ATOMIC_SPECIES
Li 6.94 Li.upf
Tc 98.00 Tc.upf
Ni 58.69 Ni.upf
ATOMIC_POSITIONS angstrom
Li 0.000 0.000 0.000
Tc 1.217 2.043 1.249
Tc 1.217 -2.043 1.249
Ni 2.434 0.000 0.000
CELL_PARAMETERS angstrom
2.434 -4.086 0.000
2.434 4.086 0.000
0.000 0.000 2.498
```



This record from Alexandria via LeMat-Bulk describes a geometry-optimized MnAu2Br structure. The functional is GGA-PBEsol. Values from VASP.

Summary:
Symmetry: P4/mmm (123)
Energy relative to the elements, uncorrected, eV/atom: 0.21
Excess energy over the best structure of this formula in the dataset, eV per atom: 0.062

Cell and atoms, written as Quantum ESPRESSO input:
```
&SYSTEM
  ibrav = 0, nat = 4, ntyp = 3
/
ATOMIC_SPECIES
Mn 54.94 Mn.upf
Au 196.97 Au.upf
Br 79.90 Br.upf
ATOMIC_POSITIONS angstrom
Mn 0.000 0.000 0.000
Au 1.597 1.597 1.537
Au 1.597 1.597 5.659
Br 0.000 0.000 3.598
CELL_PARAMETERS angstrom
3.194 0.000 0.000
0.000 3.194 0.000
0.000 0.000 7.196
```



This record from Alexandria via LeMat-Bulk describes a geometry-optimized TlSnTeI2 structure. The functional is GGA-PBEsol. Values from VASP.

Summary:
Symmetry: P4/mmm (123)
Energy relative to the elements, uncorrected, eV/atom: -0.16
Excess energy over the best structure of this formula in the dataset, eV per atom: 0.000

Cell and atoms, written as Quantum ESPRESSO input:
```
&SYSTEM
  ibrav = 0, nat = 5, ntyp = 4
/
ATOMIC_SPECIES
Tl 204.38 Tl.upf
Sn 118.71 Sn.upf
Te 127.60 Te.upf
I 126.90 I.upf
ATOMIC_POSITIONS angstrom
Tl 0.000 0.000 0.000
Sn 2.987 2.987 2.824
Te 2.987 2.987 0.000
I 0.000 2.987 2.824
I 2.987 0.000 2.824
CELL_PARAMETERS angstrom
5.973 0.000 0.000
0.000 5.973 0.000
0.000 0.000 5.648
```



This record from Alexandria via LeMat-Bulk describes a geometry-optimized LiBeSb2P structure. The functional is GGA-PBEsol. Values from VASP.

Summary:
Symmetry: P4/mmm (123)
Energy relative to the elements, uncorrected, eV/atom: 0.82

Cell and atoms, written as Quantum ESPRESSO input:
```
&SYSTEM
  ibrav = 0, nat = 5, ntyp = 4
/
ATOMIC_SPECIES
Li 6.94 Li.upf
Be 9.01 Be.upf
Sb 121.76 Sb.upf
P 30.97 P.upf
ATOMIC_POSITIONS angstrom
Li 0.000 0.000 0.000
Be 2.463 2.463 2.078
Sb 0.000 2.463 0.000
Sb 2.463 0.000 0.000
P 0.000 0.000 2.078
CELL_PARAMETERS angstrom
4.927 0.000 0.000
0.000 4.927 0.000
0.000 0.000 4.157
```



This record from Alexandria via LeMat-Bulk describes a geometry-optimized Al2TlFeBi structure. The functional is GGA-PBEsol. Values from VASP.

Summary:
Symmetry: P4/mmm (123)
ΔE_f, eV per atom: 1.45

Cell and atoms, written as Quantum ESPRESSO input:
```
&SYSTEM
  ibrav = 0, nat = 5, ntyp = 4
/
ATOMIC_SPECIES
Al 26.98 Al.upf
Tl 204.38 Tl.upf
Fe 55.84 Fe.upf
Bi 208.98 Bi.upf
ATOMIC_POSITIONS angstrom
Al 0.000 2.527 0.000
Al 2.527 0.000 0.000
Tl 0.000 0.000 0.000
Fe 2.527 2.527 2.933
Bi 0.000 0.000 2.933
CELL_PARAMETERS angstrom
5.055 0.000 0.000
0.000 5.055 0.000
0.000 0.000 5.866
```



This record from Alexandria via LeMat-Bulk describes a geometry-optimized AgBiTe3 structure. The functional is GGA-PBEsol. Values from VASP.

Summary:
Symmetry: Pm-3m (221)
Energy relative to the elements, uncorrected, eV/atom: 0.40
Excess energy over the best structure of this formula in the dataset, eV per atom: 0.000

Cell and atoms, written as Quantum ESPRESSO input:
```
&SYSTEM
  ibrav = 0, nat = 5, ntyp = 3
/
ATOMIC_SPECIES
Ag 107.87 Ag.upf
Bi 208.98 Bi.upf
Te 127.60 Te.upf
ATOMIC_POSITIONS angstrom
Ag 0.000 0.000 0.000
Bi 2.656 2.656 2.656
Te 0.000 0.000 2.656
Te 0.000 2.656 0.000
Te 2.656 0.000 0.000
CELL_PARAMETERS angstrom
5.311 0.000 0.000
0.000 5.311 0.000
0.000 0.000 5.311
```



This record from Alexandria via LeMat-Bulk describes a geometry-optimized Co3TePb structure. The functional is GGA-PBEsol. Values from VASP.

Summary:
Symmetry: Pm-3m (221)
Energy relative to the elements, uncorrected, eV/atom: 0.96

Cell and atoms, written as Quantum ESPRESSO input:
```
&SYSTEM
  ibrav = 0, nat = 5, ntyp = 3
/
ATOMIC_SPECIES
Co 58.93 Co.upf
Te 127.60 Te.upf
Pb 207.20 Pb.upf
ATOMIC_POSITIONS angstrom
Co 0.000 0.000 2.313
Co 0.000 2.313 0.000
Co 2.313 0.000 0.000
Te 0.000 0.000 0.000
Pb 2.313 2.313 2.313
CELL_PARAMETERS angstrom
4.627 0.000 0.000
0.000 4.627 0.000
0.000 0.000 4.627
```